Computed, not measured: CsCoRuO6 after structural relaxation at the GGA+U level of DFT.

Results
**Total DFT energy (no corrections)**: -0.432 Ry per atom
**DOS at the Fermi energy**: 2.3 states/eV/cell
**Volume**: 16.60 Å³ per atom
**Space-group type**: P312, No. 149

Lattice parameters (Å, degrees): 5.1021 5.1021 6.6279 90.00 90.00 120.00
With the nearest neighbours (Å) after each atom.
Fractional coordinates of all 9 atoms:
Cs 0.0000 0.0000 0.0000  6 O 3.03
Co 0.6667 0.3333 0.5000  6 O 1.87
Ru 0.3333 0.6667 0.5000  6 O 1.89
O 0.3954 0.0026 0.6573  1 Co 1.87, 1 Ru 1.89
O 0.3954 0.3928 0.3427  1 Co 1.87, 1 Ru 1.89
O 0.6072 0.0026 0.3427  1 Co 1.87, 1 Ru 1.89
O 0.6072 0.6046 0.6573  1 Co 1.87, 1 Ru 1.89
O 0.9974 0.3928 0.6573  1 Co 1.87, 1 Ru 1.89
O 0.9974 0.6046 0.3427  1 Co 1.87, 1 Ru 1.89